No. 1
First-principles (PBE-GGA) data for a geometry-optimized SmPS4 structure, as listed in Alexandria.

Unit cell a=12.367 b=12.367 c=12.367 alpha=127.43 beta=127.43 gamma=77.54
Positions (direct):
Sm  0.125  0.375  0.750
Sm  0.125  0.875  0.250
Sm  0.375  0.125  0.250
Sm  0.375  0.625  0.750
Sm  0.625  0.375  0.250
Sm  0.625  0.875  0.750
Sm  0.875  0.125  0.750
Sm  0.875  0.625  0.250
P  0.212  0.250  0.462
P  0.250  0.288  0.038
P  0.250  0.788  0.538
P  0.288  0.750  0.038
P  0.712  0.250  0.962
P  0.750  0.212  0.462
P  0.750  0.712  0.962
P  0.788  0.750  0.538
S  0.089  0.884  0.477
S  0.093  0.388  0.977
S  0.096  0.664  0.937
S  0.112  0.407  0.523
S  0.116  0.093  0.204
S  0.159  0.096  0.933
S  0.164  0.596  0.437
S  0.226  0.159  0.563
S  0.274  0.836  0.933
S  0.336  0.774  0.433
S  0.341  0.274  0.937
S  0.384  0.589  0.977
S  0.388  0.911  0.296
S  0.404  0.341  0.567
S  0.407  0.384  0.296
S  0.411  0.888  0.796
S  0.589  0.112  0.204
S  0.593  0.616  0.704
S  0.596  0.659  0.433
S  0.612  0.089  0.704
S  0.616  0.411  0.023
S  0.659  0.726  0.063
S  0.664  0.226  0.567
S  0.726  0.164  0.067
S  0.774  0.841  0.437
S  0.836  0.404  0.563
S  0.841  0.904  0.067
S  0.884  0.907  0.796
S  0.888  0.593  0.477
S  0.904  0.336  0.063
S  0.907  0.612  0.023
S  0.911  0.116  0.523

Properties
The size of the total moment comes out at 0.0 Bohr magnetons per cell. The symmetry is I4_1/acd (142). The formation energy (no corrections) is -6.3 eV per formula unit.

No. 2
First-principles (PBE-GGA) data for a geometry-optimized Zr4Se3 structure, as listed in Alexandria.

Unit cell a=11.522 b=11.522 c=11.522 alpha=161.97 beta=161.97 gamma=25.60
Positions (direct):
Zr  0.067  0.067  0.000
Zr  0.346  0.346  0.000
Zr  0.654  0.654  0.000
Zr  0.933  0.933  0.000
Se  0.199  0.199  0.000
Se  0.500  0.500  0.000
Se  0.801  0.801  0.000

Properties
The size of the total moment comes out at 0.4 Bohr magnetons per cell. The symmetry is I4/mmm (139). The distance to the lowest polymorph of the same formula is 0.00 eV/f.u. The formation energy (no corrections) is -6.3 eV per formula unit.

No. 3
First-principles (PBE-GGA) data for a geometry-optimized ZrHgSBr2 structure, as listed in Alexandria.

Unit cell a=5.479 b=5.479 c=4.993 alpha=90.00 beta=90.00 gamma=90.00
Positions (direct):
Zr  0.000  0.000  0.000
Hg  0.500  0.500  0.500
S  0.500  0.500  0.000
Br  0.000  0.500  0.500
Br  0.500  0.000  0.500

Properties
The size of the total moment comes out at 2.0 Bohr magnetons per cell. The symmetry is P4/mmm (123). The formation energy (no corrections) is 2.2 eV per formula unit.

No. 4
First-principles (PBE-GGA) data for a geometry-optimized Ca3DyIn4 structure, as listed in Alexandria.

Unit cell a=3.798 b=3.798 c=15.530 alpha=90.00 beta=90.00 gamma=90.00
Positions (direct):
Ca  0.000  0.000  0.000
Ca  0.000  0.000  0.252
Ca  0.000  0.000  0.748
Dy  0.000  0.000  0.500
In  0.500  0.500  0.127
In  0.500  0.500  0.379
In  0.500  0.500  0.621
In  0.500  0.500  0.873

Properties
The size of the total moment comes out at 0.0 Bohr magnetons per cell. The symmetry is P4/mmm (123). The value obtained for the energy of formation is -0.465 eV per atom.

No. 5
First-principles (PBE-GGA) data for a geometry-optimized Cd5In3Hg3 structure, as listed in Alexandria.

Unit cell a=3.144 b=9.062 c=10.438 alpha=90.00 beta=90.00 gamma=90.00
Positions (direct):
Cd  0.000  0.000  0.000
Cd  0.000  0.341  0.977
Cd  0.000  0.659  0.977
Cd  0.500  0.185  0.498
Cd  0.500  0.815  0.498
In  0.000  0.500  0.663
In  0.500  0.334  0.240
In  0.500  0.666  0.240
Hg  0.000  0.167  0.742
Hg  0.000  0.833  0.742
Hg  0.500  0.000  0.252

Properties
The size of the total moment comes out at 0.0 Bohr magnetons per cell. The symmetry is Pmm2 (25). The distance to the lowest polymorph of the same formula is 0.00 eV/f.u. The value obtained for the energy of formation is 0.069 eV per atom.

No. 6
First-principles (PBE-GGA) data for a geometry-optimized HfZrFe2 structure, as listed in Alexandria.

Unit cell a=4.464 b=4.464 c=3.147 alpha=90.00 beta=90.00 gamma=90.00
Positions (direct):
Hf  0.000  0.000  0.000
Zr  0.500  0.500  0.000
Fe  0.000  0.500  0.500
Fe  0.500  0.000  0.500

Properties
The size of the total moment comes out at 0.2 Bohr magnetons per cell. The symmetry is P4/mmm (123). The value obtained for the energy of formation is -0.248 eV per atom.

No. 7
First-principles (PBE-GGA) data for a geometry-optimized Ba2TaNi structure, as listed in Alexandria.

Unit cell a=3.475 b=3.475 c=10.040 alpha=90.00 beta=90.00 gamma=90.00
Positions (direct):
Ba  0.000  0.000  0.000
Ba  0.500  0.500  0.398
Ta  0.500  0.500  0.721
Ni  0.000  0.000  0.649

Properties
The size of the total moment comes out at 0.0 Bohr magnetons per cell. The symmetry is P4mm (99). The distance to the lowest polymorph of the same formula is 0.01 eV/f.u. The value obtained for the energy of formation is 0.432 eV per atom.